No. 1
# Li4InGe PBE optimized geometry
data_Li4InGe
_chemical_formula_sum 'Li4 In1 Ge1'
_symmetry_space_group_name_H-M 'P -3 m 1'
_symmetry_Int_Tables_number 164
_symmetry_space_group_name_Hall '-P 3 2"'
_cell_length_a 4.5187
_cell_length_b 4.5187
_cell_length_c 5.6780
_cell_angle_alpha 90.00
_cell_angle_beta 90.00
_cell_angle_gamma 120.00
loop_
_atom_site_label
_atom_site_fract_x
_atom_site_fract_y
_atom_site_fract_z
Li1 0.3333 0.6667 0.2158
Li2 0.3333 0.6667 0.7563
In1 0.0000 0.0000 0.5000
Ge1 0.0000 0.0000 0.0000
# V ... 100.39 Å³ per cell
# VASP energy ... -2.800 eV/atom
# Size of the total moment ... 0.0 μB per formula unit

No. 2
# CuReRuI2 PBE optimized geometry
data_CuReRuI2
_chemical_formula_sum 'Cu1 Re1 Ru1 I2'
_symmetry_space_group_name_H-M 'P 4/m m m'
_symmetry_Int_Tables_number 123
_symmetry_space_group_name_Hall '-P 4 2'
_cell_length_a 5.3993
_cell_length_b 5.3993
_cell_length_c 4.7102
_cell_angle_alpha 90.00
_cell_angle_beta 90.00
_cell_angle_gamma 90.00
loop_
_atom_site_label
_atom_site_fract_x
_atom_site_fract_y
_atom_site_fract_z
Cu1 0.0000 0.0000 0.0000
Re1 0.5000 0.5000 0.5000
Ru1 0.5000 0.5000 0.0000
I1 0.0000 0.5000 0.5000
# V ... 137.31 Å³ per cell
# VASP energy ... -4.232 eV/atom
# Formation energy (no corrections) ... 7.76 eV per formula unit
# Size of the total moment ... 0.0 μB per formula unit